Entry from Alexandria via LeMat-Bulk: a relaxed TiGaHIr2 crystal (PBE).

a b c (Å): 4.000 4.000 3.859
angles (deg): 90.00 90.00 90.00
Atoms (fractional coordinates):
H: 0.000 0.000 0.000
Ir: 0.000 0.500 0.000
Ir: 0.500 0.000 0.000
Ga: 0.500 0.500 0.500
Ti: 0.000 0.000 0.500

Total DFT energy (no corrections) ... -6.793 eV per atom
Space group ... P4/mmm (123)

Entry from Alexandria via LeMat-Bulk: a relaxed Ti2GaHIr crystal (PBE).

a b c (Å): 4.035 4.035 3.893
angles (deg): 90.00 90.00 90.00
Atoms (fractional coordinates):
Ti: 0.000 0.500 0.000
Ti: 0.500 0.000 0.000
Ga: 0.500 0.500 0.500
Ir: 0.000 0.000 0.500
H: 0.000 0.000 0.000

Offset from the most stable computed form ... 0.0000 eV/atom
Space group ... P4/mmm (123)

Entry from Alexandria via LeMat-Bulk: a relaxed Ti2GaHIr crystal (PBE).

a b c (Å): 3.884 3.884 4.161
angles (deg): 90.00 90.00 90.00
Atoms (fractional coordinates):
Ti: 0.500 0.000 0.000
Ti: 0.000 0.500 0.000
Ga: 0.000 0.000 0.500
H: 0.000 0.000 0.000
Ir: 0.500 0.500 0.500

Offset from the most stable computed form ... 0.0711 eV/atom
Space group ... P4/mmm (123)

Entry from Alexandria via LeMat-Bulk: a relaxed TiGa2HIr crystal (PBE).

a b c (Å): 4.773 4.854 4.773
angles (deg): 90.00 90.00 90.00
Last column: magnetic moment on the atom in μB.
Atoms (fractional coordinates):
Ga: 0.500 0.000 0.000  0.00
Ga: 0.000 0.000 0.500  0.01
Ti: 0.000 0.500 0.000  -0.95
H: 0.500 0.500 0.500  0.04
Ir: 0.000 0.000 0.000  0.04

Total DFT energy (no corrections) ... -4.847 eV per atom
Space group ... P4/mmm (123)

Entry from Alexandria via LeMat-Bulk: a relaxed V2GaHIr crystal (PBE).

a b c (Å): 3.675 3.675 4.285
angles (deg): 90.00 90.00 90.00
Atoms (fractional coordinates):
Ga: 0.000 0.000 0.500
V: 0.500 0.000 0.000
V: 0.000 0.500 0.000
Ir: 0.500 0.500 0.500
H: 0.000 0.000 0.000

Offset from the most stable computed form ... 0.0377 eV/atom
Space group ... P4/mmm (123)

Entry from Alexandria via LeMat-Bulk: a relaxed V2GaHIr crystal (PBE).

a b c (Å): 3.829 3.829 3.953
angles (deg): 90.00 90.00 90.00
Atoms (fractional coordinates):
V: 0.000 0.500 0.000
V: 0.500 0.000 0.000
Ga: 0.500 0.500 0.500
H: 0.000 0.000 0.000
Ir: 0.000 0.000 0.500

Offset from the most stable computed form ... 0.0000 eV/atom
Space group ... P4/mmm (123)

Entry from Alexandria via LeMat-Bulk: a relaxed YGa2HIr crystal (PBE).

a b c (Å): 5.829 5.003 5.829
angles (deg): 90.00 90.00 90.00
Last column: magnetic moment on the atom in μB.
Atoms (fractional coordinates):
H: 0.500 0.500 0.500  0.26
Y: 0.000 0.000 0.000  -0.05
Ga: 0.000 0.000 0.500  -0.05
Ga: 0.500 0.000 0.000  -0.06
Ir: 0.000 0.500 0.000  -0.03

Total DFT energy (no corrections) ... -3.531 eV per atom
Space group ... P4/mmm (123)

Entry from Alexandria via LeMat-Bulk: a relaxed ZrGa2HIr crystal (PBE).

a b c (Å): 4.152 4.019 4.152
angles (deg): 90.00 90.00 90.00
Atoms (fractional coordinates):
Ga: 0.500 0.000 0.000
Ga: 0.000 0.000 0.500
H: 0.000 0.000 0.000
Ir: 0.500 0.500 0.500
Zr: 0.000 0.500 0.000

Total DFT energy (no corrections) ... -5.638 eV per atom
Space group ... P4/mmm (123)

Entry from Alexandria via LeMat-Bulk: a relaxed KGa2H6 crystal (PBE).

a b c (Å): 7.304 7.304 7.252
angles (deg): 97.08 111.50 120.91
Last column: magnetic moment on the atom in μB.
Atoms (fractional coordinates):
H: 0.835 0.196 0.447  0.01
H: 0.337 0.752 0.328  0.01
H: 0.298 0.363 0.538  0.01
H: 0.924 0.009 0.172  0.01
H: 0.751 0.612 0.947  0.01
H: 0.675 0.240 0.038  0.01
H: 0.702 0.637 0.462  0.01
H: 0.249 0.388 0.053  0.01
H: 0.076 0.991 0.828  0.01
H: 0.325 0.760 0.962  0.01
H: 0.165 0.804 0.553  0.01
H: 0.663 0.248 0.672  0.01
K: 0.420 0.170 0.250  0.01
K: 0.580 0.830 0.750  0.01
Ga: 0.990 0.845 0.593  0.20
Ga: 0.249 0.603 0.093  0.20
Ga: 0.751 0.397 0.907  0.20
Ga: 0.010 0.155 0.407  0.20

Offset from the most stable computed form ... 0.0459 eV/atom
Space group ... C2/c (15)

Entry from Alexandria via LeMat-Bulk: a relaxed KGa2H6 crystal (PBE).

a b c (Å): 6.393 7.561 7.561
angles (deg): 85.61 63.00 63.00
Atoms (fractional coordinates):
H: 0.719 0.498 0.119
H: 0.781 0.881 0.502
H: 0.364 0.188 0.132
H: 0.364 0.394 0.381
H: 0.136 0.619 0.606
H: 0.636 0.812 0.868
H: 0.864 0.381 0.394
H: 0.136 0.868 0.812
H: 0.219 0.119 0.498
H: 0.281 0.502 0.881
H: 0.864 0.132 0.188
H: 0.636 0.606 0.619
Ga: 0.178 0.293 0.364
Ga: 0.678 0.364 0.293
Ga: 0.822 0.707 0.636
Ga: 0.322 0.636 0.707
K: 0.250 0.170 0.830
K: 0.750 0.830 0.170

Offset from the most stable computed form ... 0.0000 eV/atom
Space group ... C2/c (15)

Entry from Alexandria via LeMat-Bulk: a relaxed K3Ga5H12 crystal (PBE).

a b c (Å): 11.790 11.790 11.790
angles (deg): 109.47 109.47 109.47
Atoms (fractional coordinates):
H: 0.121 0.905 0.109
H: 0.296 0.891 0.012
H: 0.879 0.095 0.891
H: 0.891 0.296 0.512
H: 0.609 0.988 0.204
H: 0.905 0.784 0.796
H: 0.012 0.391 0.296
H: 0.796 0.512 0.391
H: 0.488 0.284 0.879
H: 0.204 0.716 0.095
H: 0.704 0.109 0.988
H: 0.405 0.109 0.621
H: 0.109 0.704 0.488
H: 0.716 0.204 0.595
H: 0.391 0.379 0.095
H: 0.879 0.784 0.488
H: 0.204 0.488 0.609
H: 0.095 0.216 0.204
H: 0.012 0.621 0.216
H: 0.905 0.121 0.609
H: 0.296 0.405 0.784
H: 0.716 0.512 0.621
H: 0.216 0.095 0.704
H: 0.512 0.716 0.121
H: 0.891 0.595 0.879
H: 0.609 0.621 0.905
H: 0.512 0.796 0.891
H: 0.121 0.216 0.512
H: 0.405 0.296 0.284
H: 0.284 0.488 0.379
H: 0.595 0.704 0.716
H: 0.488 0.204 0.109
H: 0.109 0.405 0.121
H: 0.621 0.609 0.405
H: 0.988 0.379 0.784
H: 0.284 0.796 0.405
H: 0.379 0.391 0.595
H: 0.988 0.609 0.704
H: 0.796 0.284 0.905
H: 0.379 0.988 0.284
H: 0.216 0.121 0.012
H: 0.595 0.891 0.379
H: 0.095 0.879 0.391
H: 0.704 0.595 0.216
H: 0.621 0.012 0.716
H: 0.784 0.905 0.296
H: 0.391 0.012 0.796
H: 0.784 0.879 0.988
Ga: 0.000 0.000 0.000
Ga: 0.625 0.750 0.875
Ga: 0.500 0.500 0.000
Ga: 0.000 0.500 0.000
Ga: 0.125 0.750 0.375
Ga: 0.875 0.625 0.750
Ga: 0.250 0.375 0.625
Ga: 0.125 0.375 0.250
Ga: 0.375 0.250 0.125
Ga: 0.750 0.125 0.875
Ga: 0.500 0.000 0.500
Ga: 0.875 0.250 0.625
Ga: 0.000 0.500 0.500
Ga: 0.625 0.875 0.250
Ga: 0.000 0.000 0.500
Ga: 0.750 0.625 0.375
Ga: 0.375 0.125 0.750
Ga: 0.500 0.000 0.000
Ga: 0.250 0.875 0.125
Ga: 0.500 0.500 0.500
K: 0.375 0.750 0.625
K: 0.250 0.625 0.875
K: 0.125 0.875 0.750
K: 0.875 0.125 0.250
K: 0.625 0.250 0.375
K: 0.625 0.375 0.750
K: 0.875 0.750 0.125
K: 0.750 0.375 0.125
K: 0.250 0.125 0.375
K: 0.125 0.250 0.875
K: 0.375 0.625 0.250
K: 0.750 0.875 0.625

Total DFT energy (no corrections) ... -2.917 eV per atom
Space group ... Ia-3d (230)

Entry from Alexandria via LeMat-Bulk: a relaxed K2GaH crystal (PBE).

a b c (Å): 7.988 7.988 7.018
angles (deg): 55.31 55.31 90.00
Atoms (fractional coordinates):
H: 0.250 0.750 0.500
H: 0.500 0.500 0.000
Ga: 0.000 0.000 0.000
Ga: 0.750 0.250 0.500
K: 0.528 0.125 0.250
K: 0.222 0.625 0.250
K: 0.875 0.778 0.750
K: 0.375 0.472 0.750

Offset from the most stable computed form ... 0.0355 eV/atom
Space group ... I-42d (122)